No. 1
A relaxed PrSb2Pd crystal. Source: the Alexandria database, functional PBE.

Results
E above lowest polymorph, meV per atom: 221
Calculated volume, Å³/atom: 24.5
Total DFT energy (no corrections), eV/atom: -5.1803

```
data_PrSb2Pd
_chemical_formula_sum 'Pr1 Sb2 Pd1'
_space_group_name_H-M_alt 'P 4/m m m'
_space_group_IT_number 123
_space_group_name_Hall '-P 4 2'
_cell_length_a 4.780
_cell_length_b 4.780
_cell_length_c 4.281
_cell_angle_alpha 90.00
_cell_angle_beta 90.00
_cell_angle_gamma 90.00
loop_
_atom_site_label
_atom_site_fract_x
_atom_site_fract_y
_atom_site_fract_z
Pr1 0.000 0.000 0.000
Sb1 0.000 0.500 0.500
Pd1 0.500 0.500 0.000
```

No. 2
A relaxed Sr3Hg crystal. Source: the Alexandria database, functional PBE.

Results
E above lowest polymorph, meV per atom: 196
Calculated volume, Å³/atom: 42.1
Total DFT energy (no corrections), eV/atom: -1.4240
E_form, meV per atom: -87

```
data_Sr3Hg
_chemical_formula_sum 'Sr6 Hg2'
_space_group_name_H-M_alt 'I 4/m m m'
_space_group_IT_number 139
_space_group_name_Hall '-I 4 2'
_cell_length_a 5.351
_cell_length_b 5.351
_cell_length_c 11.749
_cell_angle_alpha 90.00
_cell_angle_beta 90.00
_cell_angle_gamma 90.00
loop_
_atom_site_label
_atom_site_fract_x
_atom_site_fract_y
_atom_site_fract_z
Sr1 0.000 0.000 0.000
Sr2 0.000 0.500 0.250
Hg1 0.000 0.000 0.500
```

No. 3
A relaxed AlTlN2F crystal. Source: the Alexandria database, functional PBE.

Results
E above lowest polymorph, meV per atom: 1397
Calculated volume, Å³/atom: 16.6
Total DFT energy (no corrections), eV/atom: -3.8134

```
data_AlTlN2F
_chemical_formula_sum 'Al1 Tl1 N2 F1'
_space_group_name_H-M_alt 'P 4/m m m'
_space_group_IT_number 123
_space_group_name_Hall '-P 4 2'
_cell_length_a 4.311
_cell_length_b 4.311
_cell_length_c 4.474
_cell_angle_alpha 90.00
_cell_angle_beta 90.00
_cell_angle_gamma 90.00
loop_
_atom_site_label
_atom_site_fract_x
_atom_site_fract_y
_atom_site_fract_z
Al1 0.000 0.000 0.000
Tl1 0.500 0.500 0.500
N1 0.000 0.500 0.500
F1 0.500 0.500 0.000
```

No. 4
A relaxed Na5Y4Si4O16F crystal. Source: the Alexandria database, functional PBE.

Results
Calculated volume, Å³/atom: 12.4
Total DFT energy (no corrections), eV/atom: -7.4344

```
data_Na5Y4Si4O16F
_chemical_formula_sum 'Na10 Y8 Si8 O32 F2'
_space_group_name_H-M_alt 'I -4'
_space_group_IT_number 82
_cell_length_a 11.693
_cell_length_b 11.693
_cell_length_c 5.458
_cell_angle_alpha 90.00
_cell_angle_beta 90.00
_cell_angle_gamma 90.00
loop_
_space_group_symop_operation_xyz
'x,y,z'
'y,-x,-z'
'-x,-y,z'
'-y,x,-z'
'x+1/2,y+1/2,z+1/2'
'y+1/2,-x+1/2,-z+1/2'
'-x+1/2,-y+1/2,z+1/2'
'-y+1/2,x+1/2,-z+1/2'
loop_
_atom_site_label
_atom_site_fract_x
_atom_site_fract_y
_atom_site_fract_z
Na1 0.000 0.000 0.000
Na2 0.089 0.395 0.511
Y1 0.115 0.818 0.524
Si1 0.104 0.247 0.012
O1 0.034 0.208 0.260
O2 0.049 0.185 0.769
O3 0.110 0.387 0.982
O4 0.204 0.764 0.931
F1 0.000 0.000 0.500
```

No. 5
A relaxed Sr2AlPb crystal. Source: the Alexandria database, functional PBE.

Results
E above lowest polymorph, meV per atom: 32
Calculated volume, Å³/atom: 33.1
Total DFT energy (no corrections), eV/atom: -2.9707
E_form, meV per atom: -267

```
data_Sr2AlPb
_chemical_formula_sum 'Sr4 Al2 Pb2'
_space_group_name_H-M_alt 'C 1 m 1'
_space_group_IT_number 8
_cell_length_a 12.957
_cell_length_b 4.123
_cell_length_c 5.460
_cell_angle_alpha 90.00
_cell_angle_beta 114.90
_cell_angle_gamma 90.00
loop_
_space_group_symop_operation_xyz
'x,y,z'
'x,-y,z'
'x+1/2,y+1/2,z'
'x+1/2,-y+1/2,z'
loop_
_atom_site_label
_atom_site_fract_x
_atom_site_fract_y
_atom_site_fract_z
Sr1 0.000 0.000 0.000
Sr2 0.218 0.000 0.718
Al1 0.264 0.500 0.263
Pb1 0.438 0.000 0.439
```

No. 6
A relaxed HoZrMnZn crystal. Source: the Alexandria database, functional PBE.

Results
Calculated volume, Å³/atom: 19.6
Total DFT energy (no corrections), eV/atom: -5.9179
E_form, meV per atom: -26

```
data_HoZrMnZn
_chemical_formula_sum 'Ho4 Zr4 Mn4 Zn4'
_space_group_name_H-M_alt 'F -4 3 m'
_space_group_IT_number 216
_space_group_name_Hall 'F -4 2 3'
_cell_length_a 6.800
_cell_length_b 6.800
_cell_length_c 6.800
_cell_angle_alpha 90.00
_cell_angle_beta 90.00
_cell_angle_gamma 90.00
loop_
_atom_site_label
_atom_site_fract_x
_atom_site_fract_y
_atom_site_fract_z
Ho1 0.000 0.000 0.000
Zr1 0.000 0.000 0.500
Mn1 0.250 0.250 0.750
Zn1 0.250 0.250 0.250
```

No. 7
A relaxed NdAsN crystal. Source: the Alexandria database, functional PBE.

Results
Calculated volume, Å³/atom: 20.1
Total DFT energy (no corrections), eV/atom: -6.4102

```
data_NdAsN
_chemical_formula_sum 'Nd2 As2 N2'
_space_group_name_H-M_alt 'C 1 m 1'
_space_group_IT_number 8
_cell_length_a 6.627
_cell_length_b 4.888
_cell_length_c 4.017
_cell_angle_alpha 90.00
_cell_angle_beta 112.03
_cell_angle_gamma 90.00
loop_
_space_group_symop_operation_xyz
'x,y,z'
'x,-y,z'
'x+1/2,y+1/2,z'
'x+1/2,-y+1/2,z'
loop_
_atom_site_label
_atom_site_fract_x
_atom_site_fract_y
_atom_site_fract_z
Nd1 0.000 0.000 0.000
As1 0.473 0.000 0.542
N1 0.220 0.000 0.639
```

No. 8
A relaxed DyRe2PbO8 crystal. Source: the Alexandria database, functional PBE.

Results
Calculated volume, Å³/atom: 18.7
Total DFT energy (no corrections), eV/atom: -7.7996

```
data_DyRe2PbO8
_chemical_formula_sum 'Dy1 Re2 Pb1 O8'
_space_group_name_H-M_alt 'P -3 m 1'
_space_group_IT_number 164
_space_group_name_Hall '-P 3 2"'
_cell_length_a 6.0311
_cell_length_b 6.0311
_cell_length_c 7.1236
_cell_angle_alpha 90.00
_cell_angle_beta 90.00
_cell_angle_gamma 120.00
loop_
_atom_site_label
_atom_site_fract_x
_atom_site_fract_y
_atom_site_fract_z
Dy1 0.0000 0.0000 0.0000
Re1 0.3333 0.6667 0.2783
Pb1 0.0000 0.0000 0.5000
O1 0.1645 0.3289 0.2055
O2 0.3333 0.6667 0.5280
```

No. 9
A relaxed Li2MnW crystal. Source: the Alexandria database, functional PBE.

Results
E above lowest polymorph, meV per atom: 161
Calculated volume, Å³/atom: 15.2
Total DFT energy (no corrections), eV/atom: -6.0198
E_form, meV per atom: 468

```
data_Li2MnW
_chemical_formula_sum 'Li6 Mn3 W3'
_space_group_name_H-M_alt 'R -3 m'
_space_group_IT_number 166
_space_group_name_Hall '-R 3 2"'
_cell_length_a 2.6940
_cell_length_b 2.6940
_cell_length_c 29.1070
_cell_angle_alpha 90.00
_cell_angle_beta 90.00
_cell_angle_gamma 120.00
loop_
_atom_site_label
_atom_site_fract_x
_atom_site_fract_y
_atom_site_fract_z
Li1 0.0000 0.0000 0.2478
Mn1 0.0000 0.0000 0.5000
W1 0.0000 0.0000 0.0000
```

No. 10
A relaxed FeMo3P crystal. Source: the Alexandria database, functional PBE.

Results
Calculated volume, Å³/atom: 16.9
Total DFT energy (no corrections), eV/atom: -8.3100
E_form, meV per atom: 963

```
data_FeMo3P
_chemical_formula_sum 'Fe1 Mo3 P1'
_space_group_name_H-M_alt 'P m -3 m'
_space_group_IT_number 221
_space_group_name_Hall '-P 4 2 3'
_cell_length_a 4.392
_cell_length_b 4.392
_cell_length_c 4.392
_cell_angle_alpha 90.00
_cell_angle_beta 90.00
_cell_angle_gamma 90.00
loop_
_atom_site_label
_atom_site_fract_x
_atom_site_fract_y
_atom_site_fract_z
Fe1 0.000 0.000 0.000
Mo1 0.000 0.500 0.500
P1 0.500 0.500 0.500
```

No. 11
A relaxed Co2PdPtN crystal. Source: the Alexandria database, functional PBE.

Results
E above lowest polymorph, meV per atom: 24
Calculated volume, Å³/atom: 12.3
Total DFT energy (no corrections), eV/atom: -6.5723

```
data_Co2PdPtN
_chemical_formula_sum 'Co2 Pd1 Pt1 N1'
_space_group_name_H-M_alt 'P 4/m m m'
_space_group_IT_number 123
_space_group_name_Hall '-P 4 2'
_cell_length_a 3.847
_cell_length_b 3.847
_cell_length_c 4.149
_cell_angle_alpha 90.00
_cell_angle_beta 90.00
_cell_angle_gamma 90.00
loop_
_atom_site_label
_atom_site_fract_x
_atom_site_fract_y
_atom_site_fract_z
Co1 0.000 0.500 0.000
Pd1 0.000 0.000 0.500
Pt1 0.500 0.500 0.500
N1 0.500 0.500 0.000
```

No. 12
A relaxed NdMgZnRu crystal. Source: the Alexandria database, functional PBE.

Results
Calculated volume, Å³/atom: 20.1
Total DFT energy (no corrections), eV/atom: -4.2767
E_form, meV per atom: -49

```
data_NdMgZnRu
_chemical_formula_sum 'Nd4 Mg4 Zn4 Ru4'
_space_group_name_H-M_alt 'F -4 3 m'
_space_group_IT_number 216
_space_group_name_Hall 'F -4 2 3'
_cell_length_a 6.846
_cell_length_b 6.846
_cell_length_c 6.846
_cell_angle_alpha 90.00
_cell_angle_beta 90.00
_cell_angle_gamma 90.00
loop_
_atom_site_label
_atom_site_fract_x
_atom_site_fract_y
_atom_site_fract_z
Nd1 0.000 0.000 0.000
Mg1 0.000 0.000 0.500
Zn1 0.250 0.250 0.750
Ru1 0.250 0.250 0.250
```

No. 13
A relaxed HfZnPdRh crystal. Source: the Alexandria database, functional PBE.

Results
Calculated volume, Å³/atom: 15.8
Total DFT energy (no corrections), eV/atom: -6.7015
E_form, meV per atom: -759

```
data_HfZnPdRh
_chemical_formula_sum 'Hf2 Zn2 Pd2 Rh2'
_space_group_name_H-M_alt 'I -4 m 2'
_space_group_IT_number 119
_space_group_name_Hall 'I -4 -2'
_cell_length_a 4.187
_cell_length_b 4.187
_cell_length_c 7.217
_cell_angle_alpha 90.00
_cell_angle_beta 90.00
_cell_angle_gamma 90.00
loop_
_atom_site_label
_atom_site_fract_x
_atom_site_fract_y
_atom_site_fract_z
Hf1 0.000 0.000 0.000
Zn1 0.000 0.000 0.500
Pd1 0.000 0.500 0.250
Rh1 0.000 0.500 0.750
```